(1)
Density functional theory data (GGA-PBE) for TaHgOF2 after structural relaxation.

POSCAR file:
```
TaHgOF2
1.0
4.3478 0.0000 0.0000
0.0000 3.9453 0.0000
0.0000 0.0000 4.3478
Hg O F Ta
1 1 2 1
direct
0.5000 0.5000 0.5000
0.0000 0.5000 0.0000
0.5000 0.0000 0.0000
0.0000 0.0000 0.5000
0.0000 0.0000 0.0000
```

formation energy (no corrections) = -1.87 eV/atom
raw total energy = -6.043 eV/atom
energy above the lowest structure with this stoichiometry = 0.00 eV per formula unit

(2)
Density functional theory data (GGA-PBE) for TcHgOF2 after structural relaxation.

POSCAR file:
```
TcHgOF2
1.0
4.5322 0.0000 0.0000
0.0000 4.5322 0.0000
0.0000 0.0000 4.2455
F Hg Tc O
2 1 1 1
direct
0.0000 0.5000 0.0000
0.5000 0.0000 0.0000
0.0000 0.0000 0.0000
0.5000 0.5000 0.5000
0.0000 0.0000 0.5000
```

formation energy (no corrections) = -0.02 eV/atom
raw total energy = -3.891 eV/atom
energy above the lowest structure with this stoichiometry = 5.22 eV per formula unit

(3)
Density functional theory data (GGA-PBE) for TcHgO2F after structural relaxation.

POSCAR file:
```
TcHgO2F
1.0
3.8678 0.0000 0.0000
0.0000 3.8678 0.0000
0.0000 0.0000 4.4834
F O Hg Tc
1 2 1 1
direct
0.0000 0.0000 0.5000
0.0000 0.5000 0.0000
0.5000 0.0000 0.0000
0.5000 0.5000 0.5000
0.0000 0.0000 0.0000
```

formation energy (no corrections) = -0.95 eV/atom
raw total energy = -5.445 eV/atom

(4)
Density functional theory data (GGA-PBE) for TcHg2O2F4 after structural relaxation.

POSCAR file:
```
TcHg2O2F4
1.0
4.9575 0.2237 0.1522
1.3650 5.6386 -1.1272
1.3650 1.0219 5.6586
Hg O Tc F
2 2 1 4
direct
0.2582 0.6284 0.6284
0.7418 0.3716 0.3716
0.8204 0.8120 0.8120
0.1796 0.1880 0.1880
0.5000 0.0000 0.0000
0.6708 0.9328 0.2640
0.6708 0.2640 0.9328
0.3292 0.0672 0.7360
0.3292 0.7360 0.0672
```

formation energy (no corrections) = -1.42 eV/atom
raw total energy = -4.571 eV/atom

(5)
Density functional theory data (GGA-PBE) for TcHgO2F after structural relaxation.

POSCAR file:
```
TcHgO2F
1.0
-2.1932 -1.8751 -3.0628
-0.0752 -3.5641 2.2358
-3.8242 1.2994 1.9428
Tc F Hg O
1 1 1 2
direct
0.5000 0.5000 0.5000
0.0000 0.0000 0.5000
0.0000 0.0000 0.0000
0.5000 0.0000 0.0000
0.0000 0.5000 0.0000
```

formation energy (no corrections) = 0.38 eV/atom
raw total energy = -4.113 eV/atom

(6)
Density functional theory data (GGA-PBE) for TcHgOF2 after structural relaxation.

POSCAR file:
```
TcHgOF2
1.0
4.3410 0.0000 0.0000
0.0000 4.3410 0.0000
0.0000 0.0000 3.7859
Hg F Tc O
1 2 1 1
direct
0.5000 0.5000 0.5000
0.5000 0.0000 0.0000
0.0000 0.5000 0.0000
0.0000 0.0000 0.0000
0.0000 0.0000 0.5000
```

formation energy (no corrections) = -1.06 eV/atom
raw total energy = -4.935 eV/atom
energy above the lowest structure with this stoichiometry = 0.00 eV per formula unit